## Ba2SnS (PBE)

Data for a relaxed structure of Ba2SnS.

Results
- formation energy without anion corrections (eV per atom) = -0.93
- polymorph energy (0 for the lowest one) (meV per atom) = 0.0
- D(E_F) (states/eV per atom) = 0.34
- theoretical density (kg/m³) = 4153

Cell: 8.6829 8.6829 9.0246 Å, 90.00 90.00 90.00°
Closest atoms and distances in Å follow each position.
Element x y z (fractional)
Ba 0.2014 0.7500 0.1250  2 S 3.01
Ba 0.2500 0.2014 0.8750  2 S 3.01
Ba 0.2500 0.2986 0.3750  2 S 3.01
Ba 0.2986 0.7500 0.6250  2 S 3.01
Ba 0.7014 0.2500 0.6250  2 S 3.01
Ba 0.7500 0.7014 0.3750  2 S 3.01
Ba 0.7500 0.7986 0.8750  2 S 3.01
Ba 0.7986 0.2500 0.1250  2 S 3.01
Sn 0.0000 0.0000 0.5000  4 Ba 3.56
Sn 0.0000 0.5000 0.7500  4 Ba 3.56
Sn 0.5000 0.0000 0.2500  4 Ba 3.56
Sn 0.5000 0.5000 0.0000  4 Ba 3.56
S 0.0000 0.0000 0.0000  4 Ba 3.01
S 0.0000 0.5000 0.2500  4 Ba 3.01
S 0.5000 0.0000 0.7500  4 Ba 3.01
S 0.5000 0.5000 0.5000  4 Ba 3.01